Below is an optimized crystal structure of DyErTh4, with properties calculated at the PBE-GGA level.

Lattice parameters (Å, degrees): 6.268 6.268 12.618 104.38 104.38 90.00
Positions (direct):
Th: 0.626 0.375 0.750
Th: 0.124 0.875 0.750
Th: 0.125 0.375 0.250
Th: 0.625 0.875 0.250
Th: 0.125 0.375 0.750
Th: 0.625 0.875 0.750
Th: 0.125 0.876 0.250
Th: 0.625 0.374 0.250
Er: 0.000 0.000 0.000
Er: 0.750 0.250 0.500
Dy: 0.250 0.750 0.500
Dy: 0.500 0.500 0.000

Computed properties:
- volume (Å³/cell) = 464.1
- total moment (μB/atom) = 0.0006
- excess energy over the best structure of this formula in the dataset (meV/atom) = 934
- DFT total energy (eV per cell) = -65.99
- energy relative to the elements (eV per atom) = 0.975